(1)
A geometry-optimized Tb5CeY2Ho structure, computed with PBE.

CIF file:
```
data_Tb5CeY2Ho
_chemical_formula_sum 'Tb20 Ce4 Y8 Ho4'
_space_group_name_H-M_alt 'C m c 21'
_space_group_IT_number 36
_cell_length_a 5.622
_cell_length_b 20.197
_cell_length_c 10.350
_cell_angle_alpha 90.00
_cell_angle_beta 90.00
_cell_angle_gamma 90.00
loop_
_space_group_symop_operation_xyz
'x,y,z'
'-x,-y,z+1/2'
'-x,y,z'
'x,-y,z+1/2'
'x+1/2,y+1/2,z'
'-x+1/2,-y+1/2,z+1/2'
'-x+1/2,y+1/2,z'
'x+1/2,-y+1/2,z+1/2'
loop_
_atom_site_label
_atom_site_type_symbol
_atom_site_fract_x
_atom_site_fract_y
_atom_site_fract_z
_atom_site_occupancy
Tb1 Tb 0.000 0.017 0.000 1
Tb2 Tb 0.000 0.277 0.290 1
Tb3 Tb 0.000 0.298 0.681 1
Tb4 Tb 0.000 0.392 0.006 1
Tb5 Tb 0.000 0.478 0.719 1
Ce1 Ce 0.000 0.201 0.992 1
Y1 Y 0.000 0.114 0.298 1
Y2 Y 0.000 0.114 0.710 1
Ho1 Ho 0.000 0.409 0.429 1
```

## Properties
calculated formation energy: 0.172 eV per atom
density: 7.22 g/cm³
total magnetic moment: 1.0 μB per formula unit

---

(2)
A geometry-optimized Tb6CeY3Ho2 structure, computed with PBE.

CIF file:
```
data_Tb6CeY3Ho2
_chemical_formula_sum 'Tb12 Ce2 Y6 Ho4'
_space_group_name_H-M_alt 'C 1 2/m 1'
_space_group_IT_number 12
_cell_length_a 6.162
_cell_length_b 10.670
_cell_length_c 11.798
_cell_angle_alpha 90.00
_cell_angle_beta 100.02
_cell_angle_gamma 90.00
loop_
_space_group_symop_operation_xyz
'x,y,z'
'-x,-y,-z'
'-x,y,-z'
'x,-y,z'
'x+1/2,y+1/2,z'
'-x+1/2,-y+1/2,-z'
'-x+1/2,y+1/2,-z'
'x+1/2,-y+1/2,z'
loop_
_atom_site_label
_atom_site_type_symbol
_atom_site_fract_x
_atom_site_fract_y
_atom_site_fract_z
_atom_site_occupancy
Tb1 Tb 0.248 0.000 0.251 1
Tb2 Tb 0.249 0.166 0.749 1
Ce1 Ce 0.000 0.000 0.500 1
Y1 Y 0.000 0.167 0.000 1
Y2 Y 0.000 0.500 0.000 1
Ho1 Ho 0.000 0.333 0.500 1
```

## Properties
calculated formation energy: 0.037 eV per atom
density: 7.35 g/cm³
total magnetic moment: 1.2 μB per formula unit

---

(3)
A geometry-optimized Tb2CeYHo structure, computed with PBE.

CIF file:
```
data_Tb2CeYHo
_chemical_formula_sum 'Tb4 Ce2 Y2 Ho2'
_space_group_name_H-M_alt 'P m m a'
_space_group_IT_number 51
_cell_length_a 5.908
_cell_length_b 7.978
_cell_length_c 6.871
_cell_angle_alpha 90.00
_cell_angle_beta 90.00
_cell_angle_gamma 90.00
loop_
_space_group_symop_operation_xyz
'x,y,z'
'-x,-y,-z'
'-x+1/2,-y,z'
'x+1/2,y,-z'
'x+1/2,-y,-z'
'-x+1/2,y,z'
'-x,y,-z'
'x,-y,z'
loop_
_atom_site_label
_atom_site_type_symbol
_atom_site_fract_x
_atom_site_fract_y
_atom_site_fract_z
_atom_site_occupancy
Tb1 Tb 0.250 0.199 0.190 1
Ce1 Ce 0.000 0.500 0.500 1
Y1 Y 0.250 0.500 0.907 1
Ho1 Ho 0.250 0.000 0.661 1
```

## Properties
calculated formation energy: 0.310 eV per atom
density: 7.30 g/cm³
total magnetic moment: 1.7 μB per formula unit

---

(4)
A geometry-optimized Tb3CeY6Ho2 structure, computed with PBE.

CIF file:
```
data_Tb3CeY6Ho2
_chemical_formula_sum 'Tb6 Ce2 Y12 Ho4'
_space_group_name_H-M_alt 'C 1 2/m 1'
_space_group_IT_number 12
_cell_length_a 6.173
_cell_length_b 10.685
_cell_length_c 11.799
_cell_angle_alpha 90.00
_cell_angle_beta 100.02
_cell_angle_gamma 90.00
loop_
_space_group_symop_operation_xyz
'x,y,z'
'-x,-y,-z'
'-x,y,-z'
'x,-y,z'
'x+1/2,y+1/2,z'
'-x+1/2,-y+1/2,-z'
'-x+1/2,y+1/2,-z'
'x+1/2,-y+1/2,z'
loop_
_atom_site_label
_atom_site_type_symbol
_atom_site_fract_x
_atom_site_fract_y
_atom_site_fract_z
_atom_site_occupancy
Tb1 Tb 0.000 0.000 0.000 1
Tb2 Tb 0.000 0.333 0.000 1
Ce1 Ce 0.000 0.500 0.500 1
Y1 Y 0.248 0.500 0.251 1
Y2 Y 0.249 0.334 0.749 1
Ho1 Ho 0.000 0.167 0.500 1
```

## Properties
calculated formation energy: 0.038 eV per atom
density: 6.41 g/cm³
total magnetic moment: 1.1 μB per formula unit

---

(5)
A geometry-optimized Tb2CeY3Ho6 structure, computed with PBE.

CIF file:
```
data_Tb2CeY3Ho6
_chemical_formula_sum 'Tb4 Ce2 Y6 Ho12'
_space_group_name_H-M_alt 'C 1 2/m 1'
_space_group_IT_number 12
_cell_length_a 6.143
_cell_length_b 10.634
_cell_length_c 11.748
_cell_angle_alpha 90.00
_cell_angle_beta 100.03
_cell_angle_gamma 90.00
loop_
_space_group_symop_operation_xyz
'x,y,z'
'-x,-y,-z'
'-x,y,-z'
'x,-y,z'
'x+1/2,y+1/2,z'
'-x+1/2,-y+1/2,-z'
'-x+1/2,y+1/2,-z'
'x+1/2,-y+1/2,z'
loop_
_atom_site_label
_atom_site_type_symbol
_atom_site_fract_x
_atom_site_fract_y
_atom_site_fract_z
_atom_site_occupancy
Tb1 Tb 0.000 0.167 0.000 1
Ce1 Ce 0.000 0.500 0.000 1
Y1 Y 0.000 0.000 0.500 1
Y2 Y 0.000 0.333 0.500 1
Ho1 Ho 0.248 0.500 0.751 1
Ho2 Ho 0.249 0.335 0.249 1
```

## Properties
calculated formation energy: 0.038 eV per atom
density: 7.53 g/cm³
total magnetic moment: 1.1 μB per formula unit

---

(6)
A geometry-optimized TbCeY6Ho2 structure, computed with PBE.

CIF file:
```
data_TbCeY6Ho2
_chemical_formula_sum 'Tb4 Ce4 Y24 Ho8'
_space_group_name_H-M_alt 'C 1 2/c 1'
_space_group_IT_number 15
_cell_length_a 9.180
_cell_length_b 14.840
_cell_length_c 9.676
_cell_angle_alpha 90.00
_cell_angle_beta 99.17
_cell_angle_gamma 90.00
loop_
_space_group_symop_operation_xyz
'x,y,z'
'-x,-y,-z'
'-x,y,-z+1/2'
'x,-y,z+1/2'
'x+1/2,y+1/2,z'
'-x+1/2,-y+1/2,-z'
'-x+1/2,y+1/2,-z+1/2'
'x+1/2,-y+1/2,z+1/2'
loop_
_atom_site_label
_atom_site_type_symbol
_atom_site_fract_x
_atom_site_fract_y
_atom_site_fract_z
_atom_site_occupancy
Tb1 Tb 0.000 0.025 0.250 1
Ce1 Ce 0.000 0.408 0.750 1
Y1 Y 0.067 0.183 0.942 1
Y2 Y 0.095 0.395 0.117 1
Y3 Y 0.206 0.224 0.317 1
Ho1 Ho 0.240 0.048 0.549 1
```

## Properties
calculated formation energy: 0.156 eV per atom
density: 5.93 g/cm³
total magnetic moment: 1.3 μB per formula unit

---

(7)
A geometry-optimized Tb3CeY2Ho6 structure, computed with PBE.

CIF file:
```
data_Tb3CeY2Ho6
_chemical_formula_sum 'Tb6 Ce2 Y4 Ho12'
_space_group_name_H-M_alt 'C 1 2/m 1'
_space_group_IT_number 12
_cell_length_a 6.141
_cell_length_b 10.630
_cell_length_c 11.741
_cell_angle_alpha 90.00
_cell_angle_beta 100.03
_cell_angle_gamma 90.00
loop_
_space_group_symop_operation_xyz
'x,y,z'
'-x,-y,-z'
'-x,y,-z'
'x,-y,z'
'x+1/2,y+1/2,z'
'-x+1/2,-y+1/2,-z'
'-x+1/2,y+1/2,-z'
'x+1/2,-y+1/2,z'
loop_
_atom_site_label
_atom_site_type_symbol
_atom_site_fract_x
_atom_site_fract_y
_atom_site_fract_z
_atom_site_occupancy
Tb1 Tb 0.000 0.000 0.000 1
Tb2 Tb 0.000 0.332 0.000 1
Ce1 Ce 0.000 0.500 0.500 1
Y1 Y 0.000 0.167 0.500 1
Ho1 Ho 0.247 0.500 0.250 1
Ho2 Ho 0.249 0.335 0.750 1
```

## Properties
calculated formation energy: 0.037 eV per atom
density: 7.85 g/cm³
total magnetic moment: 1.1 μB per formula unit

---

(8)
A geometry-optimized TbCeHoZr structure, computed with PBE.

CIF file:
```
data_TbCeHoZr
_chemical_formula_sum 'Tb4 Ce4 Ho4 Zr4'
_space_group_name_H-M_alt 'F -4 3 m'
_space_group_IT_number 216
_space_group_name_Hall 'F -4 2 3'
_cell_length_a 7.735
_cell_length_b 7.735
_cell_length_c 7.735
_cell_angle_alpha 90.00
_cell_angle_beta 90.00
_cell_angle_gamma 90.00
loop_
_atom_site_label
_atom_site_type_symbol
_atom_site_fract_x
_atom_site_fract_y
_atom_site_fract_z
_atom_site_occupancy
Tb1 Tb 0.000 0.000 0.000 1
Ce1 Ce 0.250 0.250 0.750 1
Ho1 Ho 0.250 0.250 0.250 1
Zr1 Zr 0.000 0.000 0.500 1
```

## Properties
calculated formation energy: 0.233 eV per atom
density: 7.97 g/cm³
total magnetic moment: 2.3 μB per formula unit

---

(9)
A geometry-optimized Ce3HoTc structure, computed with PBE.

CIF file:
```
data_Ce3HoTc
_chemical_formula_sum 'Ce3 Ho1 Tc1'
_space_group_name_H-M_alt 'P m -3 m'
_space_group_IT_number 221
_space_group_name_Hall '-P 4 2 3'
_cell_length_a 5.357
_cell_length_b 5.357
_cell_length_c 5.357
_cell_angle_alpha 90.00
_cell_angle_beta 90.00
_cell_angle_gamma 90.00
loop_
_atom_site_label
_atom_site_type_symbol
_atom_site_fract_x
_atom_site_fract_y
_atom_site_fract_z
_atom_site_occupancy
Ce1 Ce 0.000 0.000 0.500 1
Ho1 Ho 0.500 0.500 0.500 1
Tc1 Tc 0.000 0.000 0.000 1
```

## Properties
energy relative to the lowest polymorph listed for this composition: 0.075 eV/atom
calculated formation energy: 0.132 eV per atom
density: 7.38 g/cm³
total magnetic moment: 1.7 μB per formula unit

---

(10)
A geometry-optimized CeHoTc2 structure, computed with PBE.

CIF file:
```
data_CeHoTc2
_chemical_formula_sum 'Ce4 Ho4 Tc8'
_space_group_name_H-M_alt 'F m -3 m'
_space_group_IT_number 225
_space_group_name_Hall '-F 4 2 3'
_cell_length_a 6.838
_cell_length_b 6.838
_cell_length_c 6.838
_cell_angle_alpha 90.00
_cell_angle_beta 90.00
_cell_angle_gamma 90.00
loop_
_atom_site_label
_atom_site_type_symbol
_atom_site_fract_x
_atom_site_fract_y
_atom_site_fract_z
_atom_site_occupancy
Ce1 Ce 0.000 0.000 0.000 1
Ho1 Ho 0.000 0.000 0.500 1
Tc1 Tc 0.250 0.250 0.250 1
```

## Properties
energy relative to the lowest polymorph listed for this composition: 0.031 eV/atom
calculated formation energy: 0.028 eV per atom
density: 10.41 g/cm³
total magnetic moment: 0.0 μB per formula unit

---

(11)
A geometry-optimized CeHo3Tc structure, computed with PBE.

CIF file:
```
data_CeHo3Tc
_chemical_formula_sum 'Ce4 Ho12 Tc4'
_space_group_name_H-M_alt 'C 1 m 1'
_space_group_IT_number 8
_cell_length_a 11.782
_cell_length_b 3.866
_cell_length_c 12.906
_cell_angle_alpha 90.00
_cell_angle_beta 112.74
_cell_angle_gamma 90.00
loop_
_space_group_symop_operation_xyz
'x,y,z'
'x,-y,z'
'x+1/2,y+1/2,z'
'x+1/2,-y+1/2,z'
loop_
_atom_site_label
_atom_site_type_symbol
_atom_site_fract_x
_atom_site_fract_y
_atom_site_fract_z
_atom_site_occupancy
Ce1 Ce 0.000 0.000 0.000 1
Ce2 Ce 0.109 0.000 0.284 1
Ho1 Ho 0.114 0.000 0.616 1
Ho2 Ho 0.238 0.000 0.894 1
Ho3 Ho 0.271 0.500 0.141 1
Ho4 Ho 0.288 0.500 0.517 1
Ho5 Ho 0.432 0.000 0.376 1
Ho6 Ho 0.465 0.000 0.755 1
Tc1 Tc 0.293 0.500 0.751 1
Tc2 Tc 0.467 0.000 0.127 1
```

## Properties
calculated formation energy: -0.053 eV per atom
density: 8.98 g/cm³
total magnetic moment: 0.0 μB per formula unit

---

(12)
A geometry-optimized CeHoTc2 structure, computed with PBE.

CIF file:
```
data_CeHoTc2
_chemical_formula_sum 'Ce1 Ho1 Tc2'
_space_group_name_H-M_alt 'P 4/m m m'
_space_group_IT_number 123
_space_group_name_Hall '-P 4 2'
_cell_length_a 3.408
_cell_length_b 3.408
_cell_length_c 6.890
_cell_angle_alpha 90.00
_cell_angle_beta 90.00
_cell_angle_gamma 90.00
loop_
_atom_site_label
_atom_site_type_symbol
_atom_site_fract_x
_atom_site_fract_y
_atom_site_fract_z
_atom_site_occupancy
Ce1 Ce 0.000 0.000 0.000 1
Ho1 Ho 0.000 0.000 0.500 1
Tc1 Tc 0.500 0.500 0.227 1
```

## Properties
energy relative to the lowest polymorph listed for this composition: 0.000 eV/atom
calculated formation energy: -0.004 eV per atom
density: 10.40 g/cm³
total magnetic moment: 0.0 μB per formula unit